Material: Al2PPb
Method: DFT, GGA-PBE
State: optimized geometry

Summary:
Formation enthalpy at 0 K ... 35.24 kJ per mole of atoms
Offset from the most stable computed form ... 1.74 eV/f.u.
Uncorrected energy ... -3.79 eV per atom
M_tot ... 0.000 Bohr magnetons per cell

Lattice parameters (Å, degrees): 3.8849 4.6000 4.6399 90.00 90.00 90.00
Space group Pmmm (No. 47)
Inequivalent atoms, fractional coordinates:
Al 0.0000 0.0000 0.0000 (multiplicity 1)
Al 0.5000 0.0000 0.5000 (multiplicity 1)
P 0.0000 0.5000 0.5000 (multiplicity 1)
Pb 0.5000 0.5000 0.0000 (multiplicity 1)